[1]
First-principles (PBE-GGA) data for a relaxed structure of CdBi2Pd2, as listed in Alexandria via LeMat-Bulk.

a = 8.308 Å, b = 8.308 Å, c = 3.378 Å
α = 90.00°, β = 90.00°, γ = 90.00°
Fractional positions:
Bi: 0.663 0.163 0.000
Bi: 0.163 0.337 0.000
Bi: 0.337 0.837 0.000
Bi: 0.837 0.663 0.000
Pd: 0.375 0.125 0.500
Pd: 0.625 0.875 0.500
Pd: 0.125 0.625 0.500
Pd: 0.875 0.375 0.500
Cd: 0.000 0.000 0.000
Cd: 0.500 0.500 0.000

## Properties
Energy relative to the lowest polymorph listed for this composition: 180.6 meV/atom
Space group: P4/mbm, No. 127
Calculated formation energy: -0.08 eV per atom

---

[2]
First-principles (PBE-GGA) data for a relaxed structure of Sn3SbTe, as listed in Alexandria via LeMat-Bulk.

a = 5.769 Å, b = 5.769 Å, c = 5.769 Å
α = 90.00°, β = 90.00°, γ = 90.00°
Fractional positions:
Sn: 0.000 0.500 0.000
Sn: 0.000 0.000 0.500
Sn: 0.500 0.000 0.000
Te: 0.500 0.500 0.500
Sb: 0.000 0.000 0.000

## Properties
Energy relative to the lowest polymorph listed for this composition: 522.2 meV/atom
Space group: Pm-3m, No. 221
Formation energy from raw total energies: 0.5630 eV/atom

---

[3]
First-principles (PBE-GGA) data for a relaxed structure of CaScReO6, as listed in Alexandria via LeMat-Bulk.

a = 5.303 Å, b = 5.303 Å, c = 4.998 Å
α = 90.00°, β = 90.00°, γ = 60.00°
Fractional positions:
O: 0.620 0.351 0.714
O: 0.620 0.029 0.286
O: 0.028 0.621 0.714
O: 0.351 0.029 0.714
O: 0.351 0.621 0.286
O: 0.028 0.351 0.286
Re: 0.333 0.333 0.500
Ca: 0.000 0.000 0.000
Sc: 0.667 0.667 0.500

## Properties
Space group: P312, No. 149
Formation energy from raw total energies: -2.4870 eV/atom

---

What V values result from the calculations? In sequence: 116.6, 192.0, 121.7 Å³/f.u..
What total DFT energy (no corrections) values result from the calculations? In sequence: -3.89, -3.29, -8.10 eV per atom.